[1]
Here is CeNd5Y after structural relaxation from Alexandria via LeMat-Bulk. Energies are from PBE-GGA.

POSCAR file:
```
CeNd5Y
1.0
5.455 0.001 1.999
2.131 7.178 2.630
0.195 0.554 7.914
Nd Ce Y
5 1 1
Direct
0.243 0.757 0.757
0.757 0.243 0.243
0.000 0.683 0.317
0.000 0.317 0.683
0.500 0.000 0.000
0.000 0.000 0.000
0.500 0.500 0.500
```

For the calculated volume, the calculation gives 43.07 Å³/atom. The value obtained for the total moment is 0.0 μB per formula unit. The space-group type is No. 71. Its energy relative to the elements is 0.884 eV/atom.

[2]
Here is CeNd12Y7 after structural relaxation from Alexandria via LeMat-Bulk. Energies are from PBE-GGA.

POSCAR file:
```
CeNd12Y7
1.0
6.588 0.000 1.906
-3.711 9.441 4.601
-0.834 0.000 11.107
Nd Y Ce
12 7 1
Direct
0.496 0.789 0.425
0.708 0.786 0.789
0.795 0.066 0.456
0.749 0.544 0.522
0.729 0.478 0.066
0.205 0.934 0.544
0.271 0.522 0.934
0.504 0.211 0.575
0.079 0.575 0.214
0.292 0.214 0.211
0.251 0.456 0.478
0.921 0.425 0.786
0.072 0.864 0.299
0.791 0.163 0.136
0.629 0.701 0.163
0.500 0.000 0.000
0.371 0.299 0.837
0.928 0.136 0.701
0.209 0.837 0.864
0.000 0.000 0.000
```

For the calculated volume, the calculation gives 35.29 Å³/atom. The value obtained for the total moment is 1.4 μB per formula unit. The space-group type is No. 148. Its energy relative to the elements is 0.297 eV/atom.

[3]
Here is CeNd5Zn6 after structural relaxation from Alexandria via LeMat-Bulk. Energies are from PBE-GGA.

POSCAR file:
```
CeNd5Zn6
1.0
4.923 -0.031 1.641
0.037 7.368 0.012
-0.004 -0.016 8.218
Zn Nd Ce
6 5 1
Direct
0.166 0.751 0.668
0.500 0.249 0.000
0.500 0.751 0.000
0.166 0.249 0.668
0.834 0.751 0.332
0.834 0.249 0.332
0.335 0.000 0.330
0.000 0.500 0.000
0.665 0.000 0.670
0.334 0.500 0.331
0.666 0.500 0.669
0.000 0.000 0.000
```

For the calculated volume, the calculation gives 24.85 Å³/atom. The value obtained for the total moment is 1.1 μB per formula unit. The space-group type is No. 65. Its energy relative to the elements is -0.280 eV/atom.

[4]
Here is Ce2NdZn6 after structural relaxation from Alexandria via LeMat-Bulk. Energies are from PBE-GGA.

POSCAR file:
```
Ce2NdZn6
1.0
3.418 0.090 -0.147
-0.354 6.949 -3.942
0.346 -0.051 7.989
Ce Zn Nd
2 6 1
Direct
0.000 0.667 0.333
0.000 0.333 0.667
0.500 0.000 0.666
0.500 0.000 0.334
0.500 0.334 0.000
0.500 0.666 0.666
0.500 0.666 0.000
0.500 0.334 0.334
0.000 0.000 0.000
```

For the calculated volume, the calculation gives 21.06 Å³/atom. The value obtained for the total moment is 2.3 μB per formula unit. The space-group type is No. 191. Its energy relative to the elements is -0.299 eV/atom.

[5]
Here is Ce2NdZn3 after structural relaxation from Alexandria via LeMat-Bulk. Energies are from PBE-GGA.

POSCAR file:
```
Ce2NdZn3
1.0
-0.600 3.419 1.086
-2.516 -1.186 2.343
7.689 -1.097 7.701
Ce Zn Nd
2 3 1
Direct
0.500 0.500 0.163
0.500 0.500 0.837
0.000 0.000 0.000
0.000 0.000 0.672
0.000 0.000 0.328
0.500 0.500 0.500
```

For the calculated volume, the calculation gives 24.11 Å³/atom. The value obtained for the total moment is 1.1 μB per formula unit. The space-group type is No. 123. Its energy relative to the elements is -0.217 eV/atom.

[6]
Here is CeNdZn2 after structural relaxation from Alexandria via LeMat-Bulk. Energies are from PBE-GGA.

POSCAR file:
```
CeNdZn2
1.0
-2.306 -0.974 -2.551
0.370 -3.158 -1.631
-6.147 -5.380 5.109
Zn Nd Ce
2 1 1
Direct
0.750 0.750 0.751
0.250 0.250 0.249
0.500 0.500 0.500
0.000 0.000 0.000
```

For the calculated volume, the calculation gives 26.02 Å³/atom. The value obtained for the total moment is 1.0 μB per formula unit. The space-group type is No. 166. Its energy relative to the elements is -0.022 eV/atom.